(1)
Computed, not measured: a relaxed BeCoGe crystal at the PBE-GGA level of DFT.

Structure (CIF):
```
data_BeCoGe
_cell_length_a 5.3500
_cell_length_b 5.3500
_cell_length_c 5.3500
_cell_angle_alpha 90.00
_cell_angle_beta 90.00
_cell_angle_gamma 90.00
_space_group_name_H-M_alt 'F -4 3 m'
_space_group_IT_number 216
_space_group_name_Hall 'F -4 2 3'
loop_
_atom_site_label
_atom_site_type_symbol
_atom_site_fract_x
_atom_site_fract_y
_atom_site_fract_z
Be1 Be 0.0000 0.0000 0.0000
Co1 Co 0.2500 0.2500 0.2500
Ge1 Ge 0.0000 0.0000 0.5000
```

Calculated values
For the calculated volume, the calculation gives 153.1 Å³ per cell. The calculation puts the magnetic moment at 0.0 μB/f.u. Its uncorrected energy is -62.1 eV per cell. As for the energy above the most stable polymorph in this dataset: 0 meV/atom.



(2)
Computed, not measured: a relaxed Pa3Se3S4 crystal at the PBE-GGA level of DFT.

Structure (CIF):
```
data_Pa3Se3S4
_cell_length_a 9.7635
_cell_length_b 9.7635
_cell_length_c 9.7635
_cell_angle_alpha 90.00
_cell_angle_beta 90.00
_cell_angle_gamma 90.00
_space_group_name_H-M_alt 'I -4 3 d'
_space_group_IT_number 220
_space_group_name_Hall 'I -4bd 2c 3'
loop_
_atom_site_label
_atom_site_type_symbol
_atom_site_fract_x
_atom_site_fract_y
_atom_site_fract_z
Pa1 Pa 0.0000 0.2500 0.8750
Se1 Se 0.0000 0.2500 0.3750
S1 S 0.0812 0.0812 0.0812
```

Calculated values
For the calculated volume, the calculation gives 930.7 Å³ per cell. The calculation puts the magnetic moment at 1.0 μB/f.u. Its uncorrected energy is -280.1 eV per cell.



(3)
Computed, not measured: a relaxed Be2Nb2Os crystal at the PBE-GGA level of DFT.

Structure (CIF):
```
data_Be2Nb2Os
_cell_length_a 6.2876
_cell_length_b 6.2876
_cell_length_c 3.3097
_cell_angle_alpha 90.00
_cell_angle_beta 90.00
_cell_angle_gamma 90.00
_space_group_name_H-M_alt 'P 4/m b m'
_space_group_IT_number 127
_space_group_name_Hall '-P 4 2ab'
loop_
_atom_site_label
_atom_site_type_symbol
_atom_site_fract_x
_atom_site_fract_y
_atom_site_fract_z
Be1 Be 0.1219 0.3781 0.0000
Nb1 Nb 0.1749 0.6749 0.5000
Os1 Os 0.0000 0.0000 0.0000
```

Calculated values
For the calculated volume, the calculation gives 130.8 Å³ per cell. The calculation puts the magnetic moment at 0.0 μB/f.u. Its uncorrected energy is -81.6 eV per cell.



(4)
Computed, not measured: a relaxed LiScTlNi crystal at the PBE-GGA level of DFT.

Structure (CIF):
```
data_LiScTlNi
_cell_length_a 6.4956
_cell_length_b 6.4956
_cell_length_c 6.4956
_cell_angle_alpha 90.00
_cell_angle_beta 90.00
_cell_angle_gamma 90.00
_space_group_name_H-M_alt 'F -4 3 m'
_space_group_IT_number 216
_space_group_name_Hall 'F -4 2 3'
loop_
_atom_site_label
_atom_site_type_symbol
_atom_site_fract_x
_atom_site_fract_y
_atom_site_fract_z
Li1 Li 0.0000 0.0000 0.0000
Sc1 Sc 0.2500 0.2500 0.2500
Tl1 Tl 0.0000 0.0000 0.5000
Ni1 Ni 0.2500 0.2500 0.7500
```

Calculated values
For the calculated volume, the calculation gives 274.1 Å³ per cell. The calculation puts the magnetic moment at 0.0 μB/f.u. Its uncorrected energy is -66.1 eV per cell. As for the energy above the most stable polymorph in this dataset: 190 meV/atom.



(5)
Computed, not measured: a relaxed UNiS3 crystal at the PBE-GGA level of DFT.

Structure (CIF):
```
data_UNiS3
_cell_length_a 6.8597
_cell_length_b 8.3687
_cell_length_c 5.9727
_cell_angle_alpha 90.00
_cell_angle_beta 90.00
_cell_angle_gamma 90.00
_space_group_name_H-M_alt 'P n m a'
_space_group_IT_number 62
loop_
_space_group_symop_operation_xyz
'x,y,z'
'-x,-y,-z'
'-x+1/2,-y,z+1/2'
'x+1/2,y,-z+1/2'
'x+1/2,-y+1/2,-z+1/2'
'-x+1/2,y+1/2,z+1/2'
'-x,y+1/2,-z'
'x,-y+1/2,z'
loop_
_atom_site_label
_atom_site_type_symbol
_atom_site_fract_x
_atom_site_fract_y
_atom_site_fract_z
U1 U 0.1337 0.2500 0.0633
Ni1 Ni 0.0000 0.0000 0.5000
S1 S 0.0384 0.7500 0.3465
S2 S 0.1747 0.5538 0.8369
```

Calculated values
For the calculated volume, the calculation gives 342.9 Å³ per cell. The calculation puts the magnetic moment at 0.1 μB/f.u. Its uncorrected energy is -136.5 eV per cell.



(6)
Computed, not measured: a relaxed In2Pt2Au crystal at the PBE-GGA level of DFT.

Structure (CIF):
```
data_In2Pt2Au
_cell_length_a 3.9555
_cell_length_b 3.9555
_cell_length_c 12.9270
_cell_angle_alpha 90.00
_cell_angle_beta 90.00
_cell_angle_gamma 90.00
_space_group_name_H-M_alt 'I 4/m m m'
_space_group_IT_number 139
_space_group_name_Hall '-I 4 2'
loop_
_atom_site_label
_atom_site_type_symbol
_atom_site_fract_x
_atom_site_fract_y
_atom_site_fract_z
In1 In 0.0000 0.0000 0.1066
Pt1 Pt 0.0000 0.5000 0.2500
Au1 Au 0.0000 0.0000 0.5000
```

Calculated values
For the calculated volume, the calculation gives 202.3 Å³ per cell. The calculation puts the magnetic moment at 0.0 μB/f.u. Its uncorrected energy is -42.9 eV per cell.



(7)
Computed, not measured: a relaxed KAl6In3Co2 crystal at the PBE-GGA level of DFT.

Structure (CIF):
```
data_KAl6In3Co2
_cell_length_a 8.5321
_cell_length_b 8.5321
_cell_length_c 3.9551
_cell_angle_alpha 90.00
_cell_angle_beta 90.00
_cell_angle_gamma 120.00
_space_group_name_H-M_alt 'P 6/m m m'
_space_group_IT_number 191
_space_group_name_Hall '-P 6 2'
loop_
_atom_site_label
_atom_site_type_symbol
_atom_site_fract_x
_atom_site_fract_y
_atom_site_fract_z
K1 K 0.0000 0.0000 0.0000
Al1 Al 0.2202 0.4404 0.5000
In1 In 0.0000 0.5000 0.0000
Co1 Co 0.3333 0.6667 0.0000
```

Calculated values
For the calculated volume, the calculation gives 249.3 Å³ per cell. The calculation puts the magnetic moment at 0.0 μB/f.u. Its uncorrected energy is -46.8 eV per cell.



(8)
Computed, not measured: a relaxed InTcO3 crystal at the PBE-GGA level of DFT.

Structure (CIF):
```
data_InTcO3
_cell_length_a 5.0663
_cell_length_b 5.5840
_cell_length_c 5.5991
_cell_angle_alpha 96.13
_cell_angle_beta 98.03
_cell_angle_gamma 106.44
_space_group_name_H-M_alt 'P -1'
_space_group_IT_number 2
loop_
_space_group_symop_operation_xyz
'x,y,z'
'-x,-y,-z'
loop_
_atom_site_label
_atom_site_type_symbol
_atom_site_fract_x
_atom_site_fract_y
_atom_site_fract_z
In1 In 0.2388 0.1521 0.4287
Tc1 Tc 0.3097 0.5850 0.0363
O1 O 0.0319 0.3192 0.1245
O2 O 0.4194 0.5355 0.7211
O3 O 0.4294 0.8803 0.2613
```

Calculated values
For the calculated volume, the calculation gives 148.6 Å³ per cell. The calculation puts the magnetic moment at 0.0 μB/f.u. Its uncorrected energy is -68.0 eV per cell.



(9)
Computed, not measured: a relaxed LuBeGe2 crystal at the PBE-GGA level of DFT.

Structure (CIF):
```
data_LuBeGe2
_cell_length_a 6.6396
_cell_length_b 6.6396
_cell_length_c 6.6396
_cell_angle_alpha 90.00
_cell_angle_beta 90.00
_cell_angle_gamma 90.00
_space_group_name_H-M_alt 'F -4 3 m'
_space_group_IT_number 216
_space_group_name_Hall 'F -4 2 3'
loop_
_atom_site_label
_atom_site_type_symbol
_atom_site_fract_x
_atom_site_fract_y
_atom_site_fract_z
Lu1 Lu 0.0000 0.0000 0.0000
Be1 Be 0.2500 0.2500 0.7500
Ge1 Ge 0.0000 0.0000 0.5000
Ge2 Ge 0.2500 0.2500 0.2500
```

Calculated values
For the calculated volume, the calculation gives 292.7 Å³ per cell. The calculation puts the magnetic moment at 0.0 μB/f.u. Its uncorrected energy is -67.3 eV per cell.



(10)
Computed, not measured: a relaxed NdMgPO crystal at the PBE-GGA level of DFT.

Structure (CIF):
```
data_NdMgPO
_cell_length_a 4.3889
_cell_length_b 4.4212
_cell_length_c 7.0838
_cell_angle_alpha 90.00
_cell_angle_beta 90.00
_cell_angle_gamma 90.00
_space_group_name_H-M_alt 'P m c 21'
_space_group_IT_number 26
loop_
_space_group_symop_operation_xyz
'x,y,z'
'-x,-y,z+1/2'
'-x,y,z'
'x,-y,z+1/2'
loop_
_atom_site_label
_atom_site_type_symbol
_atom_site_fract_x
_atom_site_fract_y
_atom_site_fract_z
Nd1 Nd 0.0000 0.2033 0.0000
Mg1 Mg 0.5000 0.3003 0.3466
P1 P 0.5000 0.2003 0.6895
O1 O 0.0000 0.2957 0.3409
```

Calculated values
For the calculated volume, the calculation gives 137.5 Å³ per cell. The calculation puts the magnetic moment at 0.0 μB/f.u. Its uncorrected energy is -48.0 eV per cell.



(11)
Computed, not measured: a relaxed LaSm2S3 crystal at the PBE-GGA level of DFT.

Structure (CIF):
```
data_LaSm2S3
_cell_length_a 4.0455
_cell_length_b 4.0455
_cell_length_c 9.9528
_cell_angle_alpha 90.00
_cell_angle_beta 90.00
_cell_angle_gamma 120.00
_space_group_name_H-M_alt 'P -3 m 1'
_space_group_IT_number 164
_space_group_name_Hall '-P 3 2"'
loop_
_atom_site_label
_atom_site_type_symbol
_atom_site_fract_x
_atom_site_fract_y
_atom_site_fract_z
La1 La 0.0000 0.0000 0.0000
Sm1 Sm 0.3333 0.6667 0.6632
S1 S 0.0000 0.0000 0.5000
S2 S 0.3333 0.6667 0.1762
```

Calculated values
For the calculated volume, the calculation gives 141.1 Å³ per cell. The calculation puts the magnetic moment at 0.0 μB/f.u. Its uncorrected energy is -39.2 eV per cell.



(12)
Computed, not measured: a relaxed NbBr4Cl crystal at the PBE-GGA level of DFT.

Structure (CIF):
```
data_NbBr4Cl
_cell_length_a 6.9243
_cell_length_b 7.4429
_cell_length_c 9.8651
_cell_angle_alpha 110.34
_cell_angle_beta 90.87
_cell_angle_gamma 116.23
_space_group_name_H-M_alt 'P -1'
_space_group_IT_number 2
loop_
_space_group_symop_operation_xyz
'x,y,z'
'-x,-y,-z'
loop_
_atom_site_label
_atom_site_type_symbol
_atom_site_fract_x
_atom_site_fract_y
_atom_site_fract_z
Nb1 Nb 0.1049 0.2143 0.2144
Br1 Br 0.0701 0.8194 0.5754
Br2 Br 0.1158 0.6296 0.8530
Br3 Br 0.2977 0.0109 0.2429
Br4 Br 0.4367 0.5671 0.3236
Cl1 Cl 0.2116 0.1626 0.9598
```

Calculated values
For the calculated volume, the calculation gives 418.9 Å³ per cell. The calculation puts the magnetic moment at 0.0 μB/f.u. Its uncorrected energy is -48.3 eV per cell.



Among the records above, which one has the highest calculated volume?
Pa3Se3S4